Record 1
Computed, not measured: Ac2TcC4 after structural relaxation at the GGA-PBE level of DFT.

Results
Uncorrected energy ... -7.955 eV per atom
DFT formation energy ... -0.03 eV/atom

Lattice parameters (Å, degrees): 7.269 7.269 7.269 112.11 85.16 135.07
Positions (direct):
Ac (0.150, 0.158, 0.308)
Ac (0.350, 0.658, 0.007)
Ac (0.650, 0.342, 0.993)
Ac (0.850, 0.842, 0.692)
Tc (0.250, 0.750, 0.500)
Tc (0.750, 0.250, 0.500)
C (0.073, 0.672, 0.745)
C (0.117, 0.830, 0.946)
C (0.383, 0.330, 0.713)
C (0.427, 0.172, 0.599)
C (0.573, 0.828, 0.401)
C (0.617, 0.670, 0.287)
C (0.883, 0.170, 0.054)
C (0.927, 0.328, 0.255)

***

Record 2
Computed, not measured: La2Pm6SmHo after structural relaxation at the GGA-PBE level of DFT.

Results
Uncorrected energy ... -4.653 eV per atom
DFT formation energy ... 0.11 eV/atom

Lattice parameters (Å, degrees): 8.905 8.905 10.081 95.16 95.16 117.93
Positions (direct):
La (0.194, 0.291, 0.041)
La (0.291, 0.194, 0.541)
La (0.709, 0.806, 0.459)
La (0.806, 0.709, 0.959)
Pm (0.019, 0.579, 0.189)
Pm (0.121, 0.740, 0.556)
Pm (0.260, 0.879, 0.944)
Pm (0.297, 0.503, 0.379)
Pm (0.421, 0.981, 0.311)
Pm (0.497, 0.703, 0.121)
Pm (0.503, 0.297, 0.879)
Pm (0.579, 0.019, 0.689)
Pm (0.703, 0.497, 0.621)
Pm (0.740, 0.121, 0.056)
Pm (0.879, 0.260, 0.444)
Pm (0.981, 0.421, 0.811)
Sm (0.013, 0.987, 0.250)
Sm (0.987, 0.013, 0.750)
Ho (0.405, 0.595, 0.750)
Ho (0.595, 0.405, 0.250)

***

Record 3
Computed, not measured: KRb7O2 after structural relaxation at the GGA-PBE level of DFT.

Results
Uncorrected energy ... -2.312 eV per atom
Formation energy (no corrections) ... -533.7 meV/atom

Lattice parameters (Å, degrees): 12.343 12.343 5.640 90.00 90.00 139.63
Positions (direct):
K (0.000, 0.000, 0.000)
Rb (0.056, 0.399, 0.500)
Rb (0.274, 0.726, 0.000)
Rb (0.399, 0.056, 0.500)
Rb (0.500, 0.500, 0.500)
Rb (0.601, 0.944, 0.500)
Rb (0.726, 0.274, 0.000)
Rb (0.944, 0.601, 0.500)
O (0.258, 0.742, 0.500)
O (0.742, 0.258, 0.500)

***

Record 4
Computed, not measured: La7Nd4Sm after structural relaxation at the GGA-PBE level of DFT.

Results
Uncorrected energy ... -4.844 eV per atom
ΔE to the lowest computed polymorph ... 0 meV/atom
DFT formation energy ... 0.01 eV/atom

Lattice parameters (Å, degrees): 6.482 7.481 9.235 90.09 103.56 90.01
Positions (direct):
La (0.000, 0.000, 0.000)
La (0.222, 0.499, 0.668)
La (0.279, 0.751, 0.332)
La (0.500, 0.251, 0.001)
La (0.500, 0.749, 0.999)
La (0.721, 0.249, 0.668)
La (0.778, 0.501, 0.332)
Nd (0.224, 0.000, 0.669)
Nd (0.275, 0.250, 0.330)
Nd (0.725, 0.750, 0.670)
Nd (0.776, 0.000, 0.331)
Sm (0.000, 0.500, 0.000)

***

Record 5
Computed, not measured: MgRh4 after structural relaxation at the GGA-PBE level of DFT.

Results
Uncorrected energy ... -5.294 eV per atom
ΔE to the lowest computed polymorph ... 1084 meV/atom
DFT formation energy ... 0.91 eV/atom

Lattice parameters (Å, degrees): 4.833 4.833 4.833 109.47 109.47 109.47
Positions (direct):
Mg (0.000, 0.000, 0.000)
Rh (0.000, 0.000, 0.500)
Rh (0.000, 0.500, 0.000)
Rh (0.500, 0.000, 0.000)
Rh (0.500, 0.500, 0.500)

***

Record 6
Computed, not measured: Pm2NdRu2 after structural relaxation at the GGA-PBE level of DFT.

Results
Uncorrected energy ... -6.663 eV per atom
DFT formation energy ... -0.10 eV/atom

Lattice parameters (Å, degrees): 5.632 4.393 10.716 90.00 97.29 90.00
Positions (direct):
Pm (0.107, 0.250, 0.385)
Pm (0.249, 0.250, 0.029)
Pm (0.751, 0.750, 0.971)
Pm (0.893, 0.750, 0.615)
Nd (0.416, 0.250, 0.716)
Nd (0.584, 0.750, 0.284)
Ru (0.244, 0.750, 0.852)
Ru (0.359, 0.750, 0.538)
Ru (0.641, 0.250, 0.462)
Ru (0.756, 0.250, 0.148)

***

Record 7
Computed, not measured: SrSb2Os after structural relaxation at the GGA-PBE level of DFT.

Results
Uncorrected energy ... -5.499 eV per atom
Formation energy (no corrections) ... -209.4 meV/atom
ΔE to the lowest computed polymorph ... 34 meV/atom

Lattice parameters (Å, degrees): 6.415 6.415 6.415 40.87 40.87 40.87
Positions (direct):
Sr (0.000, 0.000, 0.000)
Sb (0.220, 0.220, 0.220)
Sb (0.780, 0.780, 0.780)
Os (0.500, 0.500, 0.500)

***

Record 8
Computed, not measured: LaAuSe3 after structural relaxation at the GGA-PBE level of DFT.

Results
Uncorrected energy ... -4.382 eV per atom
Formation energy (no corrections) ... -650.2 meV/atom
ΔE to the lowest computed polymorph ... 0 meV/atom

Lattice parameters (Å, degrees): 5.085 5.085 5.085 90.00 90.00 90.00
Positions (direct):
La (0.000, 0.000, 0.000)
Au (0.500, 0.500, 0.500)
Se (0.000, 0.500, 0.500)
Se (0.500, 0.000, 0.500)
Se (0.500, 0.500, 0.000)